1.
TiHgN2O, optimized geometry, DFT GGA-PBE; formation energy from raw total energies = 1482 meV per atom; V = 68.8 Å³ per cell; space-group type = No. 123; DFT total energy = -4.479 eV per atom
1.0
4.111 0.000 0.000
0.000 4.111 0.000
0.000 0.000 4.071
Ti Hg N O
1 1 2 1
Direct
0.000 0.000 0.000
0.500 0.500 0.500
0.000 0.500 0.500
0.500 0.000 0.500
0.500 0.500 0.000

2.
TlHgN2O, optimized geometry, DFT GGA-PBE; formation energy from raw total energies = 1704 meV per atom; V = 88.2 Å³ per cell; space-group type = No. 123; DFT total energy = -3.152 eV per atom
1.0
4.498 0.000 0.000
0.000 4.498 0.000
0.000 0.000 4.359
Tl Hg N O
1 1 2 1
Direct
0.000 0.000 0.000
0.500 0.500 0.500
0.000 0.500 0.000
0.500 0.000 0.000
0.000 0.000 0.500

3.
TlHgNO2, optimized geometry, DFT GGA-PBE; formation energy from raw total energies = 980 meV per atom; V = 83.3 Å³ per cell; space-group type = No. 123; DFT total energy = -3.202 eV per atom
1.0
4.368 0.000 0.000
0.000 4.368 0.000
0.000 0.000 4.364
Tl Hg N O
1 1 1 2
Direct
0.000 0.000 0.000
0.500 0.500 0.500
0.000 0.000 0.500
0.000 0.500 0.000
0.500 0.000 0.000

4.
TlHgNO2, optimized geometry, DFT GGA-PBE; formation energy from raw total energies = 903 meV per atom; V = 83.6 Å³ per cell; space-group type = No. 123; DFT total energy = -3.279 eV per atom
1.0
4.407 0.000 0.000
0.000 4.407 0.000
0.000 0.000 4.306
Tl Hg N O
1 1 1 2
Direct
0.000 0.000 0.000
0.500 0.500 0.500
0.500 0.500 0.000
0.000 0.500 0.500
0.500 0.000 0.500

5.
TlHgN2O, optimized geometry, DFT GGA-PBE; formation energy from raw total energies = 1584 meV per atom; V = 87.3 Å³ per cell; space-group type = No. 123; DFT total energy = -3.272 eV per atom
1.0
4.433 0.000 0.000
0.000 4.433 0.000
0.000 0.000 4.442
Tl Hg N O
1 1 2 1
Direct
0.000 0.000 0.000
0.500 0.500 0.500
0.000 0.500 0.500
0.500 0.000 0.500
0.500 0.500 0.000

Which of these has the highest formation energy from raw total energies?
number 2